MgFe7Ni6O16, optimized geometry, DFT GGA+U; excess energy over the best structure of this formula in the dataset = 0 meV/atom; space-group type = No. 12; E_tot = -5.851 eV/atom; volume = 316 Å³/cell
1.0
5.275 -3.021 0.000
5.275 3.021 0.000
-3.344 0.000 9.929
Mg Fe Ni O
1 7 6 16
direct
0.000 0.000 0.000
0.248 0.750 0.749
0.250 0.752 0.251
0.251 0.251 0.236
0.500 0.500 0.000
0.749 0.749 0.764
0.750 0.248 0.749
0.752 0.250 0.251
0.000 0.000 0.500
0.000 0.500 0.500
0.249 0.249 0.763
0.500 0.000 0.500
0.500 0.500 0.500
0.751 0.751 0.237
0.102 0.102 0.853
0.126 0.126 0.381
0.127 0.631 0.378
0.130 0.632 0.865
0.368 0.870 0.135
0.369 0.873 0.622
0.372 0.372 0.621
0.402 0.402 0.151
0.598 0.598 0.849
0.628 0.628 0.379
0.631 0.127 0.378
0.632 0.130 0.865
0.870 0.368 0.135
0.873 0.369 0.622
0.874 0.874 0.619
0.898 0.898 0.147

MgFe7Ni6O16, optimized geometry, DFT GGA+U; excess energy over the best structure of this formula in the dataset = 54 meV/atom; space-group type = No. 2; E_tot = -5.798 eV/atom; volume = 311 Å³/cell
1.0
6.003 0.000 0.000
2.965 5.277 0.000
2.707 1.394 9.829
Mg Fe Ni O
1 7 6 16
direct
0.000 0.000 0.000
0.247 0.245 0.230
0.251 0.257 0.769
0.257 0.756 0.745
0.500 0.500 0.000
0.743 0.244 0.255
0.749 0.743 0.231
0.753 0.755 0.770
0.000 0.000 0.500
0.000 0.500 0.500
0.240 0.745 0.254
0.500 0.000 0.500
0.500 0.500 0.500
0.760 0.255 0.746
0.083 0.105 0.151
0.106 0.636 0.131
0.130 0.145 0.617
0.137 0.626 0.624
0.357 0.893 0.863
0.380 0.361 0.373
0.383 0.861 0.378
0.396 0.396 0.856
0.604 0.604 0.144
0.617 0.139 0.622
0.620 0.639 0.627
0.643 0.107 0.137
0.863 0.374 0.376
0.870 0.855 0.383
0.894 0.364 0.869
0.917 0.895 0.849